The following is a PBE calculation of crystalline Ac2Ge4BiPt3 at its relaxed geometry, from the Alexandria database.

Cell and atoms, written as POSCAR:
```
Ac2Ge4BiPt3
1.0
4.5840 0.0000 0.0000
0.0000 4.5840 0.0000
0.0000 0.0000 10.6285
Ac Ge Bi Pt
2 4 1 3
direct
0.0000 0.5000 0.2326
0.5000 0.0000 0.7674
0.0000 0.0000 0.0000
0.0000 0.5000 0.6529
0.5000 0.0000 0.3471
0.5000 0.5000 0.0000
0.0000 0.0000 0.5000
0.0000 0.5000 0.8852
0.5000 0.0000 0.1148
0.5000 0.5000 0.5000
```

space group = P-4m2
energy = -5.607 eV/atom
formation enthalpy at 0 K = -0.74 eV per atom